Record 1
# MnBrCl

A relaxed structure of MnBrCl (PBE, the Alexandria database).

Summary:
E_form (uncorrected) (kJ/mol of formula units): 33.1
Crystal system: cubic

```
MnBrCl
1.0
0.000 3.372 3.372
3.372 0.000 3.372
3.372 3.372 0.000
Mn Br Cl
1 1 1
direct
0.000 0.000 0.000
0.500 0.500 0.500
0.250 0.250 0.250
```


Record 2
# ZnPtRh2

A relaxed structure of ZnPtRh2 (PBE, the Alexandria database).

Summary:
Crystal system: orthorhombic
DFT formation energy (eV/atom): -0.03

```
ZnPtRh2
1.0
1.387 -2.354 0.000
1.387 2.354 0.000
0.000 0.000 9.010
Zn Pt Rh
1 1 2
direct
0.000 0.000 0.000
0.000 0.000 0.500
0.500 0.500 0.239
0.500 0.500 0.761
```


Record 3
# CsPa4Cu3Te12

A relaxed structure of CsPa4Cu3Te12 (PBE, the Alexandria database).

Summary:
E_form (uncorrected) (kJ/mol of formula units): -1020.9
Crystal system: cubic

```
CsPa4Cu3Te12
1.0
-5.524 5.524 5.524
5.524 -5.524 5.524
5.524 5.524 -5.524
Cs Pa Cu Te
1 4 3 12
direct
0.000 0.000 0.000
0.000 0.000 0.500
0.000 0.500 0.000
0.500 0.000 0.000
0.500 0.500 0.500
0.000 0.500 0.500
0.500 0.000 0.500
0.500 0.500 0.000
0.154 0.830 0.324
0.170 0.324 0.494
0.170 0.676 0.846
0.324 0.154 0.830
0.324 0.494 0.170
0.494 0.170 0.324
0.506 0.830 0.676
0.676 0.506 0.830
0.676 0.846 0.170
0.830 0.324 0.154
0.830 0.676 0.506
0.846 0.170 0.676
```


Record 4
# Zn2NiSnHg

A relaxed structure of Zn2NiSnHg (PBE, the Alexandria database).

Summary:
Crystal system: tetragonal
DFT formation energy (eV/atom): 0.06

```
Zn2NiSnHg
1.0
4.734 0.000 0.000
0.000 4.734 0.000
0.000 0.000 4.829
Zn Ni Sn Hg
2 1 1 1
direct
0.000 0.500 0.000
0.500 0.000 0.000
0.000 0.000 0.000
0.000 0.000 0.500
0.500 0.500 0.500
```


Record 5
# K3Ac

A relaxed structure of K3Ac (PBE, the Alexandria database).

Summary:
Crystal system: hexagonal
DFT formation energy (eV/atom): 0.42

```
K3Ac
1.0
8.819 0.000 0.000
-4.410 7.638 0.000
0.000 0.000 7.304
K Ac
6 2
direct
0.169 0.338 0.250
0.169 0.831 0.250
0.338 0.169 0.750
0.662 0.831 0.250
0.831 0.169 0.750
0.831 0.662 0.750
0.333 0.667 0.750
0.667 0.333 0.250
```


Record 6
# SrTlAg

A relaxed structure of SrTlAg (PBE, the Alexandria database).

Summary:
Crystal system: monoclinic
DFT formation energy (eV/atom): -0.30

```
SrTlAg
1.0
5.631 -2.498 0.000
5.631 2.498 0.000
-4.939 0.000 6.187
Sr Tl Ag
2 2 2
direct
0.052 0.052 0.303
0.948 0.948 0.697
0.324 0.324 0.889
0.676 0.676 0.111
0.350 0.350 0.302
0.650 0.650 0.698
```


Record 7
# Pm6As2RhS3

A relaxed structure of Pm6As2RhS3 (PBE, the Alexandria database).

Summary:
E_form (uncorrected) (kJ/mol of formula units): -1868.4
Crystal system: monoclinic

```
Pm6As2RhS3
1.0
8.996 -2.056 0.000
8.996 2.056 0.000
-1.902 0.000 8.098
Pm As Rh S
6 2 1 3
direct
0.001 0.001 0.255
0.333 0.333 0.915
0.336 0.336 0.419
0.664 0.664 0.581
0.667 0.667 0.085
0.999 0.999 0.745
0.166 0.166 0.834
0.834 0.834 0.166
0.500 0.500 0.500
0.170 0.170 0.334
0.500 0.500 0.000
0.830 0.830 0.666
```


Record 8
# ZnRu2Rh2

A relaxed structure of ZnRu2Rh2 (PBE, the Alexandria database).

Summary:
Crystal system: tetragonal
DFT formation energy (eV/atom): 0.26

```
ZnRu2Rh2
1.0
7.451 0.000 0.000
0.000 7.451 0.000
0.000 0.000 2.749
Zn Ru Rh
2 4 4
direct
0.000 0.000 0.000
0.500 0.500 0.000
0.120 0.380 0.000
0.380 0.880 0.000
0.620 0.120 0.000
0.880 0.620 0.000
0.175 0.675 0.500
0.325 0.175 0.500
0.675 0.825 0.500
0.825 0.325 0.500
```


Record 9
# In2FeAg

A relaxed structure of In2FeAg (PBE, the Alexandria database).

Summary:
Crystal system: orthorhombic
DFT formation energy (eV/atom): 0.23

```
In2FeAg
1.0
3.021 0.000 0.000
0.000 4.918 0.000
0.000 0.000 5.062
In Fe Ag
2 1 1
direct
0.000 0.000 0.000
0.000 0.500 0.401
0.500 0.000 0.509
0.500 0.500 0.879
```


Record 10
# CaBiAs2Br

A relaxed structure of CaBiAs2Br (PBE, the Alexandria database).

Summary:
E_form (uncorrected) (kJ/mol of formula units): 11.7
Crystal system: tetragonal

```
CaBiAs2Br
1.0
5.437 0.000 0.000
0.000 5.437 0.000
0.000 0.000 5.722
Ca Bi As Br
1 1 2 1
direct
0.000 0.000 0.000
0.500 0.500 0.500
0.000 0.500 0.500
0.500 0.000 0.500
0.500 0.500 0.000
```


Record 11
# ZnOs2W

A relaxed structure of ZnOs2W (PBE, the Alexandria database).

Summary:
Crystal system: orthorhombic
DFT formation energy (eV/atom): 0.26

```
ZnOs2W
1.0
-1.558 2.137 4.405
1.558 -2.137 4.405
1.558 2.137 -4.405
Zn Os W
1 2 1
direct
0.000 0.000 0.000
0.243 0.743 0.500
0.500 0.500 0.000
0.748 0.248 0.500
```


Record 12
# NaSrBrCl2

A relaxed structure of NaSrBrCl2 (PBE, the Alexandria database).

Summary:
E_form (uncorrected) (kJ/mol of formula units): -1000.2
Crystal system: monoclinic

```
NaSrBrCl2
1.0
7.983 0.000 0.000
0.000 4.972 0.000
-1.579 0.000 8.382
Na Sr Br Cl
2 2 2 4
direct
0.191 0.250 0.483
0.809 0.750 0.517
0.256 0.750 0.933
0.744 0.250 0.067
0.153 0.250 0.136
0.847 0.750 0.864
0.171 0.750 0.587
0.425 0.250 0.834
0.575 0.750 0.166
0.829 0.250 0.413
```


no.,magnetization (μB/cell)
1,5.0
2,0.0
3,0.0
4,0.0
5,1.8
6,0.0
7,0.0
8,0.0
9,2.6
10,0.0
11,0.0
12,0.0